1.
Here is crystalline Hf2Cu3Pd4 at its relaxed geometry from Alexandria. Energies are from PBE-GGA.

Calculated values
DOS at the Fermi energy	4.14	states/eV/f.u.
formation enthalpy at 0 K	-533	meV/atom

Cell: 3.944 4.807 8.424 Å, 72.80 76.46 65.78°
Positions (direct):
Cu1 0.000 0.000 0.000
Cu2 0.659 0.233 0.450
Cu3 0.341 0.767 0.550
Pd1 0.339 0.433 0.889
Pd2 0.013 0.311 0.662
Pd3 0.661 0.567 0.111
Pd4 0.987 0.689 0.338
Hf1 0.674 0.879 0.773
Hf2 0.326 0.121 0.227

2.
Here is crystalline Pa2AlGe at its relaxed geometry from Alexandria. Energies are from PBE-GGA.

Calculated values
DOS at the Fermi energy	7.17	states/eV/f.u.
formation enthalpy at 0 K	-258	meV/atom
offset from the most stable computed form	0	meV/atom

Cell: 6.256 6.181 6.181 Å, 62.99 59.60 59.60°
Positions (direct):
Pa1 0.723 0.277 0.777
Pa2 0.777 0.723 0.223
Pa3 0.223 0.277 0.777
Pa4 0.277 0.723 0.223
Al1 0.750 0.794 0.706
Al2 0.250 0.206 0.294
Ge1 0.250 0.793 0.707
Ge2 0.750 0.207 0.293

3.
Here is crystalline KPrAgO2 at its relaxed geometry from Alexandria. Energies are from PBE-GGA.

Calculated values
DOS at the Fermi energy	1.43	states/eV/f.u.
energy	-5.28	eV per atom

Cell: 6.137 7.541 7.040 Å, 67.12 90.00 90.00°
Positions (direct):
O1 0.317 0.855 0.565
O2 0.683 0.145 0.435
O3 0.317 0.145 0.935
O4 0.683 0.855 0.065
K1 0.194 0.500 0.750
K2 0.806 0.500 0.250
Pr1 0.506 0.000 0.750
Pr2 0.494 0.000 0.250
Ag1 0.000 0.000 0.500
Ag2 0.000 0.000 0.000

4.
Here is crystalline InHgB at its relaxed geometry from Alexandria. Energies are from PBE-GGA.

Calculated values
DOS at the Fermi energy	0.80	states/eV/f.u.
formation enthalpy at 0 K	488	meV/atom

Cell: 6.320 3.855 7.028 Å, 73.86 71.57 107.90°
Positions (direct):
Hg1 0.762 0.650 0.533
Hg2 0.300 0.676 0.021
In1 0.295 0.436 0.497
In2 0.767 0.889 0.057
B1 0.002 0.586 0.904
B2 0.060 0.740 0.650